HfCuRuPt: relaxed, PBE-GGA.

Cell: 3.7167 3.9734 4.1459 Å, 90.00 90.00 90.00°
Fractional coordinates of all 4 atoms:
Hf: 0.0000 0.0000 0.0000
Cu: 0.0000 0.5000 0.5000
Ru: 0.5000 0.5000 0.0000
Pt: 0.5000 0.0000 0.5000

Calculated density = 14.60 g/cm3
ΔE_f = -229 kJ/mol of formula units


HfCu2SbPt: relaxed, PBE-GGA.

Cell: 4.7096 4.7096 4.9700 Å, 90.00 90.00 90.00°
Fractional coordinates of all 5 atoms:
Hf: 0.0000 0.0000 0.0000
Cu: 0.0000 0.5000 0.5000
Cu: 0.5000 0.0000 0.5000
Sb: 0.5000 0.5000 0.0000
Pt: 0.0000 0.0000 0.5000

Calculated density = 9.38 g/cm3
Uncorrected formation energy = 314 meV/atom


HfCuSnPt2: relaxed, PBE-GGA.

Cell: 4.9899 4.9899 4.8735 Å, 90.00 90.00 90.00°
Fractional coordinates of all 5 atoms:
Hf: 0.0000 0.0000 0.0000
Cu: 0.0000 0.0000 0.5000
Sn: 0.5000 0.5000 0.5000
Pt: 0.0000 0.5000 0.0000
Pt: 0.5000 0.0000 0.0000

Calculated density = 10.28 g/cm3
ΔE_f = 270 kJ/mol of formula units


Sr2HfCuPt: relaxed, PBE-GGA.

Cell: 5.5236 5.5236 4.7742 Å, 90.00 90.00 90.00°
Fractional coordinates of all 5 atoms:
Sr: 0.0000 0.5000 0.0000
Sr: 0.5000 0.0000 0.0000
Hf: 0.0000 0.0000 0.5000
Cu: 0.5000 0.5000 0.0000
Pt: 0.5000 0.5000 0.5000

Calculated density = 6.98 g/cm3
ΔE_f = 277 kJ/mol of formula units


TbHfCuPt: relaxed, PBE-GGA.

Cell: 4.7950 4.7950 4.7950 Å, 60.00 60.00 60.00°
Fractional coordinates of all 4 atoms:
Tb: 0.0000 0.0000 0.0000
Hf: 0.5000 0.5000 0.5000
Cu: 0.7500 0.7500 0.7500
Pt: 0.2500 0.2500 0.2500

Calculated density = 12.70 g/cm3
ΔE_f = -224 kJ/mol of formula units


YHfCuPt: relaxed, PBE-GGA.

Cell: 4.7914 4.7914 4.7914 Å, 60.00 60.00 60.00°
Fractional coordinates of all 4 atoms:
Y: 0.0000 0.0000 0.0000
Hf: 0.5000 0.5000 0.5000
Cu: 0.7500 0.7500 0.7500
Pt: 0.2500 0.2500 0.2500

Calculated density = 11.23 g/cm3
ΔE_f = -226 kJ/mol of formula units


HfZnCu2Pt: relaxed, PBE-GGA.

Cell: 4.6498 4.6498 4.5929 Å, 90.00 90.00 90.00°
Fractional coordinates of all 5 atoms:
Hf: 0.0000 0.0000 0.0000
Zn: 0.5000 0.5000 0.0000
Cu: 0.0000 0.5000 0.5000
Cu: 0.5000 0.0000 0.5000
Pt: 0.5000 0.5000 0.5000

Calculated density = 9.47 g/cm3
ΔE_f = 302 kJ/mol of formula units


HfZn2CuPt: relaxed, PBE-GGA.

Cell: 4.6402 4.6402 4.7102 Å, 90.00 90.00 90.00°
Fractional coordinates of all 5 atoms:
Hf: 0.0000 0.0000 0.0000
Zn: 0.0000 0.5000 0.5000
Zn: 0.5000 0.0000 0.5000
Cu: 0.5000 0.5000 0.0000
Pt: 0.5000 0.5000 0.5000

Calculated density = 9.30 g/cm3
ΔE_f = 221 kJ/mol of formula units


| no. | VASP energy (hartree per atom) |
| --- | --- |
| 1 | -0.29158 |
| 2 | -0.19654 |
| 3 | -0.20091 |
| 4 | -0.15130 |
| 5 | -0.24842 |
| 6 | -0.26551 |
| 7 | -0.16415 |
| 8 | -0.14957 |